Compound: SrZn3PtAu
Source: Alexandria
Functional: PBE
Structure: relaxed

Lattice parameters (Å, degrees): 5.842 8.098 7.030 125.17 90.00 90.00
Fractional coordinates of all 12 atoms:
Sr  0.750  0.290  0.580
Sr  0.250  0.710  0.420
Zn  0.250  0.191  0.382
Zn  0.000  0.257  0.000
Zn  0.500  0.743  0.000
Zn  0.500  0.257  0.000
Zn  0.000  0.743  0.000
Zn  0.750  0.809  0.618
Pt  0.250  0.979  0.958
Pt  0.750  0.021  0.042
Au  0.250  0.413  0.826
Au  0.750  0.587  0.174

Output
**Energy of formation from the pure elements**: -0.3601 eV/atom